*i*
Compound: ZnCoReAs
Source: OQMD via LeMat-Bulk
Functional: PBE
Structure: relaxed

POSCAR file:
```
ZnCoReAs
1.0
0.000 3.056 3.056
3.056 0.000 3.056
3.056 3.056 0.000
Zn Co Re As
1 1 1 1
Direct
0.000 0.000 0.000
0.500 0.500 0.500
0.750 0.750 0.750
0.250 0.250 0.250
```

---

*ii*
Compound: ZnCoReAs
Source: OQMD via LeMat-Bulk
Functional: PBE
Structure: relaxed

POSCAR file:
```
ZnCoReAs
1.0
0.000 2.984 2.984
2.984 0.000 2.984
2.984 2.984 0.000
Zn Co Re As
1 1 1 1
Direct
0.000 0.000 0.000
0.750 0.750 0.750
0.250 0.250 0.250
0.500 0.500 0.500
```

---

Relative energies in kJ/mol of atoms: *i* 37.8; *ii* 0.0

---

*i*
Compound: ZrCoReAs
Source: OQMD via LeMat-Bulk
Functional: PBE
Structure: relaxed

POSCAR file:
```
ZrCoReAs
1.0
0.000 3.183 3.183
3.183 0.000 3.183
3.183 3.183 0.000
Zr Co Re As
1 1 1 1
Direct
0.000 0.000 0.000
0.500 0.500 0.500
0.750 0.750 0.750
0.250 0.250 0.250
```

---

*ii*
Compound: ZrCoReAs
Source: OQMD via LeMat-Bulk
Functional: PBE
Structure: relaxed

POSCAR file:
```
ZrCoReAs
1.0
0.000 3.132 3.132
3.132 0.000 3.132
3.132 3.132 0.000
Zr Co Re As
1 1 1 1
Direct
0.000 0.000 0.000
0.750 0.750 0.750
0.250 0.250 0.250
0.500 0.500 0.500
```

---

Relative energies in kJ/mol of atoms: *i* 26.4; *ii* 0.0

---

*i*
Compound: CoSiAs
Source: OQMD via LeMat-Bulk
Functional: PBE
Structure: relaxed

POSCAR file:
```
CoSiAs
1.0
0.000 2.846 2.846
2.846 0.000 2.846
2.846 2.846 0.000
Co Si As
1 1 1
Direct
0.000 0.000 0.000
0.750 0.750 0.750
0.500 0.500 0.500
```

---

*ii*
Compound: CoSiAs
Source: OQMD via LeMat-Bulk
Functional: PBE
Structure: relaxed

POSCAR file:
```
CoSiAs
1.0
0.000 2.778 2.778
2.778 0.000 2.778
2.778 2.778 0.000
Co Si As
1 1 1
Direct
0.000 0.000 0.000
0.250 0.250 0.250
0.750 0.750 0.750
```

---

Relative energies in kJ/mol of atoms: *i* 52.5; *ii* 0.0

---

*i*
Compound: TaCoTcAs
Source: OQMD via LeMat-Bulk
Functional: PBE
Structure: relaxed

POSCAR file:
```
TaCoTcAs
1.0
0.000 3.102 3.102
3.102 0.000 3.102
3.102 3.102 0.000
Ta Co Tc As
1 1 1 1
Direct
0.000 0.000 0.000
0.500 0.500 0.500
0.750 0.750 0.750
0.250 0.250 0.250
```

---

*ii*
Compound: TaCoTcAs
Source: OQMD via LeMat-Bulk
Functional: PBE
Structure: relaxed

POSCAR file:
```
TaCoTcAs
1.0
0.000 3.078 3.078
3.078 0.000 3.078
3.078 3.078 0.000
Ta Co Tc As
1 1 1 1
Direct
0.000 0.000 0.000
0.750 0.750 0.750
0.250 0.250 0.250
0.500 0.500 0.500
```

---

Relative energies in kJ/mol of atoms: *i* 25.7; *ii* 0.0

---

*i*
Compound: ZrCoTcAs
Source: OQMD via LeMat-Bulk
Functional: PBE
Structure: relaxed

POSCAR file:
```
ZrCoTcAs
1.0
0.000 3.114 3.114
3.114 0.000 3.114
3.114 3.114 0.000
Zr Co Tc As
1 1 1 1
Direct
0.000 0.000 0.000
0.750 0.750 0.750
0.250 0.250 0.250
0.500 0.500 0.500
```

---

*ii*
Compound: ZrCoTcAs
Source: OQMD via LeMat-Bulk
Functional: PBE
Structure: relaxed

POSCAR file:
```
ZrCoTcAs
1.0
0.000 3.170 3.170
3.170 0.000 3.170
3.170 3.170 0.000
Zr Co Tc As
1 1 1 1
Direct
0.000 0.000 0.000
0.500 0.500 0.500
0.750 0.750 0.750
0.250 0.250 0.250
```

---

Relative energies in kJ/mol of atoms: *i* 0.0; *ii* 31.4

---

*i*
Compound: TlCoAs
Source: OQMD via LeMat-Bulk
Functional: PBE
Structure: relaxed

POSCAR file:
```
TlCoAs
1.0
0.000 3.051 3.051
3.051 0.000 3.051
3.051 3.051 0.000
Tl Co As
1 1 1
Direct
0.000 0.000 0.000
0.750 0.750 0.750
0.500 0.500 0.500
```

---

*ii*
Compound: TlCoAs
Source: OQMD via LeMat-Bulk
Functional: PBE
Structure: relaxed

POSCAR file:
```
TlCoAs
1.0
4.003 0.000 0.000
0.000 4.003 0.000
0.000 0.000 7.739
Tl Co As
2 2 2
Direct
0.250 0.250 0.152
0.750 0.750 0.848
0.250 0.750 0.500
0.750 0.250 0.500
0.250 0.250 0.655
0.750 0.750 0.345
```

---

Relative energies in kJ/mol of atoms: *i* 38.9; *ii* 0.0

---

*i*
Compound: ZnCoAsW
Source: OQMD via LeMat-Bulk
Functional: PBE
Structure: relaxed

POSCAR file:
```
ZnCoAsW
1.0
0.000 3.083 3.083
3.083 0.000 3.083
3.083 3.083 0.000
Zn Co As W
1 1 1 1
Direct
0.000 0.000 0.000
0.500 0.500 0.500
0.250 0.250 0.250
0.750 0.750 0.750
```

---

*ii*
Compound: ZnCoAsW
Source: OQMD via LeMat-Bulk
Functional: PBE
Structure: relaxed

POSCAR file:
```
ZnCoAsW
1.0
0.000 3.021 3.021
3.021 0.000 3.021
3.021 3.021 0.000
Zn Co As W
1 1 1 1
Direct
0.000 0.000 0.000
0.750 0.750 0.750
0.500 0.500 0.500
0.250 0.250 0.250
```

---

Relative energies in kJ/mol of atoms: *i* 27.9; *ii* 0.0

---

*i*
Compound: YZnCoAs
Source: OQMD via LeMat-Bulk
Functional: PBE
Structure: relaxed

POSCAR file:
```
YZnCoAs
1.0
0.000 3.259 3.259
3.259 0.000 3.259
3.259 3.259 0.000
Y Zn Co As
1 1 1 1
Direct
0.000 0.000 0.000
0.750 0.750 0.750
0.500 0.500 0.500
0.250 0.250 0.250
```

---

*ii*
Compound: YZnCoAs
Source: OQMD via LeMat-Bulk
Functional: PBE
Structure: relaxed

POSCAR file:
```
YZnCoAs
1.0
0.000 3.251 3.251
3.251 0.000 3.251
3.251 3.251 0.000
Y Zn Co As
1 1 1 1
Direct
0.000 0.000 0.000
0.250 0.250 0.250
0.750 0.750 0.750
0.500 0.500 0.500
```

---

Relative energies in kJ/mol of atoms: *i* 0.0; *ii* 9.1

---

*i*
Compound: CsNaCuAs
Source: OQMD via LeMat-Bulk
Functional: PBE
Structure: relaxed

POSCAR file:
```
CsNaCuAs
1.0
6.234 0.000 0.000
0.000 3.780 5.077
0.000 -3.780 5.077
Cs Na Cu As
2 2 2 2
Direct
0.250 0.157 0.843
0.750 0.843 0.157
0.250 0.821 0.499
0.750 0.499 0.821
0.000 0.319 0.319
0.500 0.319 0.319
0.250 0.574 0.116
0.750 0.116 0.574
```

---

*ii*
Compound: CsNaCuAs
Source: OQMD via LeMat-Bulk
Functional: PBE
Structure: relaxed

POSCAR file:
```
CsNaCuAs
1.0
6.603 0.000 0.000
0.000 5.430 0.000
-1.443 0.000 6.645
Cs Na Cu As
2 2 2 2
Direct
0.055 0.250 0.207
0.945 0.750 0.793
0.396 0.750 0.574
0.604 0.250 0.426
0.500 0.000 0.000
0.500 0.500 0.000
0.331 0.250 0.732
0.669 0.750 0.268
```

---

*iii*
Compound: CsNaCuAs
Source: OQMD via LeMat-Bulk
Functional: PBE
Structure: relaxed

POSCAR file:
```
CsNaCuAs
1.0
5.425 0.000 0.000
0.000 5.258 4.275
0.000 -5.258 4.275
Cs Na Cu As
2 2 2 2
Direct
0.000 0.173 0.827
0.000 0.827 0.173
0.500 0.189 0.491
0.500 0.491 0.189
0.238 0.603 0.603
0.762 0.603 0.603
0.000 0.367 0.367
0.500 0.817 0.817
```

---

Relative energies in kJ/mol of atoms: *i* 8.5; *ii* 0.0; *iii* 7.0

---

*i*
Compound: CsGdAsO
Source: OQMD via LeMat-Bulk
Functional: PBE
Structure: relaxed

POSCAR file:
```
CsGdAsO
1.0
6.011 0.000 0.000
0.000 6.011 0.000
0.000 0.000 5.527
Cs Gd As O
2 2 2 2
Direct
0.250 0.250 0.006
0.750 0.750 0.994
0.250 0.750 0.500
0.750 0.250 0.500
0.250 0.250 0.507
0.750 0.750 0.493
0.250 0.750 0.000
0.750 0.250 0.000
```

---

*ii*
Compound: CsGdAsO
Source: OQMD via LeMat-Bulk
Functional: PBE
Structure: relaxed

POSCAR file:
```
CsGdAsO
1.0
4.427 0.000 0.000
0.000 4.427 0.000
0.000 0.000 10.582
Cs Gd As O
2 2 2 2
Direct
0.250 0.750 0.000
0.750 0.250 0.000
0.250 0.250 0.425
0.750 0.750 0.575
0.250 0.250 0.746
0.750 0.750 0.254
0.250 0.750 0.500
0.750 0.250 0.500
```

---

Relative energies in kJ/mol of atoms: *i* 39.5; *ii* 0.0

---

*i*
Compound: CsHfAs
Source: OQMD via LeMat-Bulk
Functional: PBE
Structure: relaxed

POSCAR file:
```
CsHfAs
1.0
0.000 3.590 3.590
3.590 0.000 3.590
3.590 3.590 0.000
Cs Hf As
1 1 1
Direct
0.000 0.000 0.000
0.500 0.500 0.500
0.250 0.250 0.250
```

---

*ii*
Compound: CsHfAs
Source: OQMD via LeMat-Bulk
Functional: PBE
Structure: relaxed

POSCAR file:
```
CsHfAs
1.0
0.000 3.498 3.498
3.498 0.000 3.498
3.498 3.498 0.000
Cs Hf As
1 1 1
Direct
0.000 0.000 0.000
0.750 0.750 0.750
0.500 0.500 0.500
```

---

Relative energies in kJ/mol of atoms: *i* 7.8; *ii* 0.0

---

*i*
Compound: Cs2Rb2HgAs2
Source: OQMD via LeMat-Bulk
Functional: PBE
Structure: relaxed

POSCAR file:
```
Cs2Rb2HgAs2
1.0
3.121 1.802 9.544
-3.121 1.802 9.544
0.000 -3.604 9.544
Cs Rb Hg As
2 2 1 2
Direct
0.116 0.116 0.116
0.884 0.884 0.884
0.292 0.292 0.292
0.708 0.708 0.708
0.500 0.500 0.500
0.412 0.412 0.412
0.588 0.588 0.588
```

---

*ii*
Compound: Cs2Rb2HgAs2
Source: OQMD via LeMat-Bulk
Functional: PBE
Structure: relaxed

POSCAR file:
```
Cs2Rb2HgAs2
1.0
3.079 1.778 9.904
-3.079 1.778 9.904
0.000 -3.556 9.904
Cs Rb Hg As
2 2 1 2
Direct
0.207 0.207 0.207
0.793 0.793 0.793
0.384 0.384 0.384
0.616 0.616 0.616
0.000 0.000 0.000
0.085 0.085 0.085
0.915 0.915 0.915
```

---

Relative energies in kJ/mol of atoms: *i* 1.0; *ii* 0.0